Entry 1:
Li3LaNi at its PBEsol-relaxed geometry, computed with SCAN.

a b c (Å): 4.637 4.637 4.637
angles (deg): 90.00 90.00 90.00
Space group Pm-3m (No. 221)
One atom of each set of equivalent atoms:
Li 0.000 0.000 0.500
La 0.500 0.500 0.500
Ni 0.000 0.000 0.000

VASP energy = -13.03 eV/atom
Formation energy = 0.259 eV/atom

---

Entry 2:
LiLa4Ni at its PBEsol-relaxed geometry, computed with SCAN.

a b c (Å): 8.903 8.903 8.903
angles (deg): 90.00 90.00 90.00
Space group F-43m (No. 216)
One atom of each set of equivalent atoms:
Li 0.000 0.000 0.000
La 0.123 0.123 0.377
Ni 0.250 0.250 0.750

VASP energy = -31.13 eV/atom
Formation energy = 0.699 eV/atom

---

Entry 3:
Li2LaNi2 at its PBEsol-relaxed geometry, computed with SCAN.

a b c (Å): 3.823 3.823 11.660
angles (deg): 90.00 90.00 90.00
Space group I4/mmm (No. 139)
One atom of each set of equivalent atoms:
Li 0.000 0.500 0.250
La 0.000 0.000 0.000
Ni 0.000 0.000 0.401

VASP energy = -16.12 eV/atom
Formation energy = -0.071 eV/atom

---

Entry 4:
LiLa4NiO8 at its PBEsol-relaxed geometry, computed with SCAN.

a b c (Å): 5.265 12.730 5.266
angles (deg): 90.00 90.00 90.00
Space group Cmmm (No. 65)
One atom of each set of equivalent atoms:
Li 0.000 0.000 0.000
La 0.000 0.136 0.500
La 0.000 0.363 0.000
Ni 0.000 0.500 0.500
O 0.000 0.180 0.000
O 0.000 0.324 0.500
O 0.247 0.500 0.256

VASP energy = -20.39 eV/atom
Uncorrected formation energy = -3.19 eV/atom

---

Entry 5:
Li3LaNiO4 at its PBEsol-relaxed geometry, computed with SCAN.

a b c (Å): 11.130 11.130 12.601
angles (deg): 90.00 90.00 90.00
Space group I4_1/a (No. 88, origin choice 2)
One atom of each set of equivalent atoms:
Li 0.014 0.090 0.312
Li 0.016 0.090 0.565
Li 0.017 0.090 0.060
La 0.243 0.498 0.812
Ni 0.020 0.094 0.813
O 0.088 0.423 0.439
O 0.088 0.423 0.691
O 0.089 0.423 0.935
O 0.089 0.428 0.186

VASP energy = -12.42 eV/atom
Uncorrected formation energy = -2.27 eV/atom

---

Entry 6:
LiLaNi2Se at its PBEsol-relaxed geometry, computed with SCAN.

a b c (Å): 4.513 4.513 4.408
angles (deg): 90.00 90.00 90.00
Space group P4/mmm (No. 123)
One atom of each set of equivalent atoms:
Li 0.000 0.000 0.000
La 0.500 0.500 0.000
Ni 0.000 0.500 0.500
Se 0.000 0.000 0.500

VASP energy = -19.79 eV/atom
Uncorrected formation energy = -0.21 eV/atom

---

Entry 7:
LiLa2O2 at its PBEsol-relaxed geometry, computed with SCAN.

a b c (Å): 4.206 4.206 12.999
angles (deg): 90.00 90.00 90.00
Space group I4/mmm (No. 139)
One atom of each set of equivalent atoms:
Li 0.000 0.000 0.000
La 0.000 0.000 0.335
O 0.000 0.500 0.250

VASP energy = -22.70 eV/atom
Uncorrected formation energy = -2.48 eV/atom

---

Entry 8:
Li3LaO3 at its PBEsol-relaxed geometry, computed with SCAN.

a b c (Å): 5.9838 5.9838 11.0163
angles (deg): 90.00 90.00 120.00
Space group P-31c (No. 163)
One atom of each set of equivalent atoms:
Li 0.0574 0.3679 0.4410
La 0.0000 0.0000 0.2500
La 0.3333 0.6667 0.7500
O 0.0355 0.3351 0.6151

VASP energy = -12.37 eV/atom
Uncorrected formation energy = -2.52 eV/atom

---

Entry 9:
LiLaO2 at its PBEsol-relaxed geometry, computed with SCAN.

a b c (Å): 5.820 6.165 5.824
angles (deg): 90.00 102.35 90.00
Space group P2_1/c (No. 14)
One atom of each set of equivalent atoms:
Li 0.165 0.141 0.185
La 0.298 0.570 0.197
O 0.073 0.630 0.796
O 0.410 0.239 0.985

VASP energy = -17.58 eV/atom
Uncorrected formation energy = -3.09 eV/atom

---

Entry 10:
LiLaO2 at its PBEsol-relaxed geometry, computed with SCAN.

a b c (Å): 5.754 5.754 5.754
angles (deg): 90.00 90.00 90.00
Space group Fm-3m (No. 225)
One atom of each set of equivalent atoms:
Li 0.000 0.000 0.000
La 0.000 0.000 0.500
O 0.250 0.250 0.250

VASP energy = -17.30 eV/atom
Uncorrected formation energy = -2.81 eV/atom

---

Entry 11:
LiLa2SO at its PBEsol-relaxed geometry, computed with SCAN.

a b c (Å): 4.618 4.618 5.744
angles (deg): 90.00 90.00 90.00
Space group P4/mmm (No. 123)
One atom of each set of equivalent atoms:
Li 0.000 0.000 0.000
La 0.000 0.500 0.500
S 0.500 0.500 0.000
O 0.500 0.500 0.500

VASP energy = -22.21 eV/atom
Uncorrected formation energy = -1.32 eV/atom

---

Entry 12:
LiLaSO at its PBEsol-relaxed geometry, computed with SCAN.

a b c (Å): 3.972 3.972 8.629
angles (deg): 90.00 90.00 90.00
Space group P4/nmm (No. 129, origin choice 2)
One atom of each set of equivalent atoms:
Li 0.250 0.750 0.000
La 0.250 0.250 0.356
S 0.250 0.250 0.837
O 0.250 0.750 0.500

VASP energy = -18.10 eV/atom
Uncorrected formation energy = -2.76 eV/atom

---

Entry 13:
LiLa2SbO6 at its PBEsol-relaxed geometry, computed with SCAN.

a b c (Å): 5.586 5.734 9.669
angles (deg): 90.00 124.92 90.00
Space group P2_1/c (No. 14)
One atom of each set of equivalent atoms:
Li 0.000 0.000 0.000
La 0.236 0.050 0.749
Sb 0.500 0.000 0.500
O 0.167 0.196 0.453
O 0.256 0.715 0.449
O 0.350 0.029 0.258

VASP energy = -19.23 eV/atom
Uncorrected formation energy = -2.90 eV/atom

---

Entry 14:
LiLaTiO4 at its PBEsol-relaxed geometry, computed with SCAN.

a b c (Å): 3.740 3.740 12.099
angles (deg): 90.00 90.00 90.00
Space group P4/nmm (No. 129, origin choice 2)
One atom of each set of equivalent atoms:
Li 0.250 0.750 0.000
La 0.250 0.250 0.382
Ti 0.250 0.250 0.794
O 0.250 0.250 0.577
O 0.250 0.250 0.941
O 0.250 0.750 0.245

VASP energy = -15.69 eV/atom
Uncorrected formation energy = -3.34 eV/atom

---

Entry 15:
LiLa3Ti4O12 at its PBEsol-relaxed geometry, computed with SCAN.

a b c (Å): 5.493 5.493 15.543
angles (deg): 90.00 90.00 90.00
Space group I4/mmm (No. 139)
One atom of each set of equivalent atoms:
Li 0.000 0.000 0.000
La 0.000 0.000 0.248
La 0.000 0.000 0.500
Ti 0.000 0.500 0.123
O 0.000 0.500 0.000
O 0.000 0.500 0.250
O 0.245 0.245 0.371

VASP energy = -16.96 eV/atom
Uncorrected formation energy = -3.43 eV/atom
ΔE to the lowest computed polymorph = 40 meV/atom

---

Entry 16:
LiLaTi2O6 at its PBEsol-relaxed geometry, computed with SCAN.

a b c (Å): 7.663 5.483 5.492
angles (deg): 90.00 90.00 90.00
Space group Pmma (No. 51)
One atom of each set of equivalent atoms:
Li 0.000 0.000 0.000
La 0.250 0.500 0.494
Ti 0.000 0.000 0.500
Ti 0.000 0.500 0.000
O 0.024 0.259 0.742
O 0.250 0.000 0.451
O 0.250 0.500 0.053

VASP energy = -14.82 eV/atom
Uncorrected formation energy = -3.32 eV/atom

---

Entry 17:
LiLa3Ti4O12 at its PBEsol-relaxed geometry, computed with SCAN.

a b c (Å): 7.765 7.687 7.803
angles (deg): 90.00 90.69 90.00
Space group Cm (No. 8)
One atom of each set of equivalent atoms:
Li 0.000 0.000 0.000
La 0.428 0.500 0.554
La 0.430 0.000 0.564
La 0.450 0.000 0.069
Ti 0.186 0.249 0.309
Ti 0.195 0.253 0.823
O 0.151 0.000 0.773
O 0.172 0.000 0.369
O 0.178 0.200 0.066
O 0.192 0.292 0.569
O 0.199 0.500 0.281
O 0.242 0.500 0.860
O 0.435 0.225 0.325
O 0.443 0.199 0.816

VASP energy = -17.00 eV/atom
Uncorrected formation energy = -3.47 eV/atom
ΔE to the lowest computed polymorph = 0 meV/atom

---

V / Å³/cell: 100; 706; 170; 353; 1561; 90; 230; 342; 204; 190; 122; 136; 254; 169; 469; 231; 466